#w
FeAgI2N | PBE | optimized geometry

Unit cell a=5.7073 b=5.7073 c=3.8220 alpha=90.00 beta=90.00 gamma=90.00
Closest atoms and distances in Å follow each position.
Element x y z (fractional)
N 0.0000 0.0000 0.5000  2 Ag 1.91
I 0.0000 0.5000 0.0000  2 Ag 2.85
I 0.5000 0.0000 0.0000  2 Ag 2.85
Fe 0.5000 0.5000 0.5000  8 I 3.43, 2 Fe 3.82
Ag 0.0000 0.0000 0.0000  2 N 1.91

Properties
- Volume: 124.5 Å³/f.u.
- Symmetry: P4/mmm
- Total magnetization: 0.709 μB/atom


#x
FeAgI2N | PBE | optimized geometry

Unit cell a=5.4999 b=5.4999 c=3.4973 alpha=90.00 beta=90.00 gamma=90.00
Closest atoms and distances in Å follow each position.
Element x y z (fractional)
Ag 0.5000 0.5000 0.5000  8 I 3.26, 2 Ag 3.50
I 0.0000 0.5000 0.0000  2 Fe 2.75
I 0.5000 0.0000 0.0000  2 Fe 2.75
N 0.0000 0.0000 0.5000  2 Fe 1.75
Fe 0.0000 0.0000 0.0000  2 N 1.75

Properties
- Volume: 105.8 Å³/f.u.
- Symmetry: P4/mmm
- Total magnetization: 0.000 μB/atom


It turns out #x is the most stable, with the second structure 1033 meV/atom higher.